1.
This record from Alexandria describes a relaxed structure of GaHO2. The functional is PBE.

```
GaHO2
1.0
1.720 0.000 5.197
-0.860 1.489 5.197
-0.860 -1.489 5.197
H O Ga
1 2 1
Direct
0.500 0.500 0.500
0.891 0.891 0.891
0.109 0.109 0.109
0.000 0.000 0.000
```

E, eV/cell: -15.6
M_tot, μB/f.u.: 0.0
Space group: R-3m

---

2.
This record from Alexandria describes a relaxed structure of GaHO3. The functional is PBE.

```
GaHO3
1.0
3.813 0.000 0.000
0.000 3.813 0.000
0.000 0.000 3.813
H O Ga
1 3 1
Direct
0.500 0.500 0.500
0.000 0.500 0.000
0.000 0.000 0.500
0.500 0.000 0.000
0.000 0.000 0.000
```

E, eV/cell: -19.8
M_tot, μB/f.u.: 2.0
Space group: Pm-3m